The following is a PBE-GGA calculation of an optimized crystal structure of CaB3Rh6, from the Alexandria database.

The value obtained for the formation energy is -3.1 eV/f.u. The mass density comes out at 8612 kg/m³.

CIF file:
```
data_CaB3Rh6
_symmetry_space_group_name_H-M 'P 1'
_symmetry_Int_Tables_number 1
_symmetry_space_group_name_Hall 'P 1'
_cell_length_a 6.0283
_cell_length_b 6.0283
_cell_length_c 6.0283
_cell_angle_alpha 53.96
_cell_angle_beta 53.96
_cell_angle_gamma 53.96
loop_
_atom_site_label
_atom_site_fract_x
_atom_site_fract_y
_atom_site_fract_z
Ca1 0.0000 0.0000 0.0000
B1 0.1792 0.1792 0.1792
B2 0.3796 0.3796 0.3796
B3 0.7144 0.7144 0.7144
Rh1 0.1333 0.5385 0.7253
Rh2 0.4385 0.9500 0.4624
Rh3 0.4624 0.4385 0.9500
Rh4 0.5385 0.7253 0.1333
Rh5 0.7253 0.1333 0.5385
Rh6 0.9500 0.4624 0.4385
```